This record from the Alexandria database describes LiHgTe2 after structural relaxation. The functional is PBEsol.

- Uncorrected formation energy: -0.250 eV per atom
- Raw total energy: -10.58 eV for the cell shown

Lattice parameters (Å, degrees): 3.7545 3.7410 7.3934 90.00 90.15 90.00
With the nearest neighbours (Å) after each atom.
Space group P2/m (No. 10)
One atom of each set of equivalent atoms:
Li1 0.0000 0.0000 0.0000 x1  8 Te 2.98-2.99
Hg1 0.0000 0.0000 0.5000 x1  8 Te 3.52-3.53, 2 Li 3.70, 4 Hg 3.74-3.75
Te1 0.4984 0.5000 0.8138 x2  1 Te 2.75, 4 Li 2.98-2.99